YGa4Ni2Rh | PBE | relaxed

a = 4.1177 Å, b = 4.1177 Å, c = 26.2887 Å
α = 90.00°, β = 90.00°, γ = 120.00°
Space group R-3m (No. 166, hexagonal axes)
Unique sites:
Y 0.0000 0.0000 0.0000 [3 per cell]
Ga 0.0000 0.0000 0.1288 [6 per cell]
Ga 0.0000 0.0000 0.4010 [6 per cell]
Ni 0.0000 0.0000 0.2320 [6 per cell]
Rh 0.0000 0.0000 0.5000 [3 per cell]

- ΔE_f (eV/atom) = -0.530
- total moment (μB/atom) = 0.000